# BePdRh2 | Alexandria | GGA-PBE | relaxed
# DOS(E_F), states/eV/f.u.: 5.75
# Energy of formation from the pure elements, eV per atom: -0.244
# DFT total energy, eV/atom: -6.1492
# V, Å³ per cell: 51.3
data_BePdRh2
_cell_length_a 2.7762
_cell_length_b 2.7762
_cell_length_c 6.6520
_cell_angle_alpha 90.00
_cell_angle_beta 90.00
_cell_angle_gamma 90.00
_space_group_name_H-M_alt 'P 1'
_space_group_IT_number 1
_space_group_name_Hall 'P 1'
loop_
_atom_site_label
_atom_site_type_symbol
_atom_site_fract_x
_atom_site_fract_y
_atom_site_fract_z
Rh1 Rh 0.0000 0.0000 0.7961
Rh2 Rh 0.0000 0.0000 0.2039
Pd1 Pd 0.5000 0.5000 0.5000
Be1 Be 0.5000 0.5000 0.0000